[1]
{
  "formula": "AgPtBrN2",
  "functional": "PBE-GGA",
  "state": "relaxed",
  "lattice": [[3.940, 0.000, 0.000], [0.000, 3.940, 0.000], [0.000, 0.000, 6.768]],
  "species": ["Ag", "Pt", "Br", "N", "N"],
  "frac_coords": [[0.000, 0.000, 0.000], [0.500, 0.500, 0.500], [0.000, 0.000, 0.500], [0.000, 0.500, 0.000], [0.500, 0.000, 0.000]],
  "e_above_lowest_polymorph_ev_per_atom": 0.000,
  "energy_ev_per_atom": -3.44,
  "dos_at_fermi_per_ev_atom": 0.530,
  "raw_formation_energy_kj_per_mol_atoms": 193.3,
  "magmom_total_mub_per_cell": 3.569,
  "space_group": "No. 123"
}

[2]
{
  "formula": "Rb2AgBr6N",
  "functional": "PBE-GGA",
  "state": "relaxed",
  "lattice": [[0.000, 5.212, 5.212], [5.212, 0.000, 5.212], [5.212, 5.212, 0.000]],
  "species": ["Rb", "Rb", "Ag", "Br", "Br", "Br", "Br", "Br", "Br", "N"],
  "frac_coords": [[0.250, 0.250, 0.250], [0.750, 0.750, 0.750], [0.000, 0.000, 0.000], [0.264, 0.264, 0.736], [0.264, 0.736, 0.264], [0.264, 0.736, 0.736], [0.736, 0.264, 0.264], [0.736, 0.264, 0.736], [0.736, 0.736, 0.264], [0.500, 0.500, 0.500]],
  "energy_ev_per_atom": -2.66,
  "dos_at_fermi_per_ev_atom": 0.059,
  "raw_formation_energy_kj_per_mol_atoms": -32.9,
  "magmom_total_mub_per_cell": 0.000,
  "space_group": "No. 225"
}

[3]
{
  "formula": "AgSBrN2",
  "functional": "PBE-GGA",
  "state": "relaxed",
  "lattice": [[4.078, 0.000, 0.000], [0.000, 4.078, 0.000], [0.000, 0.000, 5.918]],
  "species": ["Ag", "S", "Br", "N", "N"],
  "frac_coords": [[0.000, 0.000, 0.000], [0.000, 0.000, 0.500], [0.500, 0.500, 0.500], [0.000, 0.500, 0.000], [0.500, 0.000, 0.000]],
  "e_above_lowest_polymorph_ev_per_atom": 0.000,
  "energy_ev_per_atom": -3.16,
  "dos_at_fermi_per_ev_atom": 0.328,
  "raw_formation_energy_kj_per_mol_atoms": 182.9,
  "magmom_total_mub_per_cell": 4.123,
  "space_group": "No. 123"
}